[1]
VASP calculation (PBE) on crystalline Dy2Pa2Tc3 at its relaxed geometry.

Values from the calculation:
SG: C2/m (12)
Energy of formation: -1.36 eV/f.u.

Lattice parameters (Å, degrees): 4.631 4.631 8.983 104.53 104.53 59.36
Element x y z (fractional)
Dy  0.127  0.127  0.382
Dy  0.873  0.873  0.618
Pa  0.379  0.379  0.139
Pa  0.621  0.621  0.861
Tc  0.000  0.000  0.000
Tc  0.258  0.258  0.786
Tc  0.742  0.742  0.214

***

[2]
VASP calculation (PBE) on crystalline CePr2Ge at its relaxed geometry.

Values from the calculation:
Relative energy among the computed polymorphs: 0.352 eV per atom
SG: R-3m (166)
Energy of formation: 0.11 eV/f.u.

Lattice parameters (Å, degrees): 11.321 11.321 11.321 18.35 18.35 18.35
Element x y z (fractional)
Ce  0.000  0.000  0.000
Pr  0.101  0.101  0.101
Pr  0.899  0.899  0.899
Ge  0.500  0.500  0.500

***

[3]
VASP calculation (PBE) on crystalline ErPuPa2 at its relaxed geometry.

Values from the calculation:
Relative energy among the computed polymorphs: 0.212 eV per atom
SG: R-3m (166)
Energy of formation: 1.54 eV/f.u.

Lattice parameters (Å, degrees): 9.644 9.644 9.644 20.81 20.81 20.81
Element x y z (fractional)
Er  0.000  0.000  0.000
Pu  0.500  0.500  0.500
Pa  0.229  0.229  0.229
Pa  0.771  0.771  0.771

***

[4]
VASP calculation (PBE) on crystalline NdGeI2 at its relaxed geometry.

Values from the calculation:
SG: R-3m (166)
ΔE_f (raw): -0.032 eV/atom

Lattice parameters (Å, degrees): 10.743 10.743 10.743 21.20 21.20 21.20
Element x y z (fractional)
Nd  0.000  0.000  0.000
Ge  0.500  0.500  0.500
I  0.099  0.099  0.099
I  0.901  0.901  0.901

***

[5]
VASP calculation (PBE) on crystalline Ac8CuGe5 at its relaxed geometry.

Values from the calculation:
SG: I-4 (82)
Energy of formation: -8.01 eV/f.u.

Lattice parameters (Å, degrees): 8.431 8.431 8.431 109.98 109.98 108.47
Element x y z (fractional)
Ac  0.005  0.126  0.748
Ac  0.251  0.494  0.617
Ac  0.365  0.749  0.243
Ac  0.378  0.257  0.252
Ac  0.506  0.122  0.757
Ac  0.743  0.995  0.121
Ac  0.874  0.622  0.879
Ac  0.878  0.635  0.383
Cu  0.750  0.250  0.500
Ge  0.127  0.001  0.373
Ge  0.247  0.873  0.874
Ge  0.500  0.500  0.000
Ge  0.627  0.753  0.627
Ge  0.999  0.373  0.126

***

[6]
VASP calculation (PBE) on crystalline BaCeI6 at its relaxed geometry.

Values from the calculation:
Relative energy among the computed polymorphs: 0.023 eV per atom
SG: P-1 (2)
ΔE_f (raw): -1.343 eV/atom

Lattice parameters (Å, degrees): 7.996 7.998 8.654 90.00 117.48 119.98
Element x y z (fractional)
Ba  0.000  0.000  0.000
Ce  0.000  0.500  0.500
I  0.167  0.449  0.262
I  0.186  0.282  0.737
I  0.455  0.904  0.737
I  0.545  0.096  0.263
I  0.814  0.718  0.263
I  0.833  0.551  0.738

***

[7]
VASP calculation (PBE) on crystalline Hf8Sb2As3 at its relaxed geometry.

Values from the calculation:
SG: C2/m (12)
ΔE_f (raw): -0.290 eV/atom

Lattice parameters (Å, degrees): 7.246 7.246 6.112 93.52 93.52 67.24
Element x y z (fractional)
Hf  0.077  0.706  0.131
Hf  0.103  0.103  0.390
Hf  0.294  0.923  0.869
Hf  0.350  0.350  0.647
Hf  0.650  0.650  0.353
Hf  0.706  0.077  0.131
Hf  0.897  0.897  0.610
Hf  0.923  0.294  0.869
Sb  0.280  0.280  0.120
Sb  0.720  0.720  0.880
As  0.286  0.714  0.500
As  0.500  0.500  0.000
As  0.714  0.286  0.500

***

[8]
VASP calculation (PBE) on crystalline Y3Ir at its relaxed geometry.

Values from the calculation:
SG: Fm-3m (225)
Energy of formation: -0.49 eV/f.u.

Lattice parameters (Å, degrees): 5.146 5.146 5.146 60.00 60.00 60.00
Element x y z (fractional)
Y  0.000  0.000  0.000
Y  0.250  0.250  0.250
Y  0.750  0.750  0.750
Ir  0.500  0.500  0.500

***

[9]
VASP calculation (PBE) on crystalline CaTb2Pm6Er at its relaxed geometry.

Values from the calculation:
SG: C2/c (15)
Energy of formation: 1.35 eV/f.u.

Lattice parameters (Å, degrees): 8.979 8.979 9.878 94.57 94.57 118.69
Element x y z (fractional)
Ca  0.099  0.901  0.750
Ca  0.901  0.099  0.250
Tb  0.202  0.301  0.958
Tb  0.301  0.202  0.458
Tb  0.699  0.798  0.542
Tb  0.798  0.699  0.042
Pm  0.002  0.214  0.624
Pm  0.072  0.529  0.177
Pm  0.214  0.002  0.124
Pm  0.264  0.616  0.552
Pm  0.384  0.736  0.948
Pm  0.471  0.928  0.323
Pm  0.529  0.072  0.677
Pm  0.616  0.264  0.052
Pm  0.736  0.384  0.448
Pm  0.786  0.998  0.876
Pm  0.928  0.471  0.823
Pm  0.998  0.786  0.376
Er  0.475  0.525  0.250
Er  0.525  0.475  0.750

***

[10]
VASP calculation (PBE) on crystalline CaZr3Au at its relaxed geometry.

Values from the calculation:
Relative energy among the computed polymorphs: 1.086 eV per atom
SG: Pm-3m (221)
Energy of formation: 7.77 eV/f.u.

Lattice parameters (Å, degrees): 5.006 5.006 5.006 90.00 90.00 90.00
Element x y z (fractional)
Ca  0.000  0.000  0.000
Zr  0.000  0.000  0.500
Zr  0.000  0.500  0.000
Zr  0.500  0.000  0.000
Au  0.500  0.500  0.500

***

[11]
VASP calculation (PBE) on crystalline LaPr6Y2Er3 at its relaxed geometry.

Values from the calculation:
SG: C2/m (12)
Energy of formation: 0.19 eV/f.u.

Lattice parameters (Å, degrees): 6.329 6.329 11.971 95.05 95.05 120.01
Element x y z (fractional)
La  0.000  0.000  0.000
Pr  0.085  0.418  0.254
Pr  0.249  0.249  0.746
Pr  0.418  0.085  0.254
Pr  0.582  0.915  0.746
Pr  0.751  0.751  0.254
Pr  0.915  0.582  0.746
Y  0.333  0.667  0.000
Y  0.667  0.333  0.000
Er  0.167  0.833  0.500
Er  0.500  0.500  0.500
Er  0.833  0.167  0.500

***

[12]
VASP calculation (PBE) on crystalline TaMnBiRu2 at its relaxed geometry.

Values from the calculation:
SG: P4/mmm (123)
Energy of formation: 9.70 eV/f.u.

Lattice parameters (Å, degrees): 4.696 4.696 5.336 90.00 90.00 90.00
Element x y z (fractional)
Ta  0.000  0.000  0.000
Mn  0.500  0.500  0.500
Bi  0.000  0.000  0.500
Ru  0.000  0.500  0.000
Ru  0.500  0.000  0.000

***

[13]
VASP calculation (PBE) on crystalline Cs2SnO at its relaxed geometry.

Values from the calculation:
Relative energy among the computed polymorphs: 0.000 eV per atom
SG: I-42d (122)
ΔE_f (raw): -0.505 eV/atom

Lattice parameters (Å, degrees): 9.272 9.272 9.272 93.45 93.45 151.61
Element x y z (fractional)
Cs  0.375  0.071  0.196
Cs  0.821  0.625  0.696
Cs  0.875  0.179  0.804
Cs  0.929  0.125  0.304
Sn  0.250  0.750  0.500
Sn  0.500  0.500  0.000
O  0.000  0.000  0.000
O  0.750  0.250  0.500

***

[14]
VASP calculation (PBE) on crystalline Rb2TcMo at its relaxed geometry.

Values from the calculation:
Relative energy among the computed polymorphs: 1.231 eV per atom
SG: Fm-3m (225)
Energy of formation: 11.08 eV/f.u.

Lattice parameters (Å, degrees): 5.785 5.785 5.785 60.00 60.00 60.00
Element x y z (fractional)
Rb  0.250  0.250  0.250
Rb  0.750  0.750  0.750
Tc  0.000  0.000  0.000
Mo  0.500  0.500  0.500

***

[15]
VASP calculation (PBE) on crystalline ZnCd6Hg at its relaxed geometry.

Values from the calculation:
Relative energy among the computed polymorphs: 0.000 eV per atom
SG: C2/m (12)
Energy of formation: 0.28 eV/f.u.

Lattice parameters (Å, degrees): 7.034 7.034 5.666 113.24 113.24 44.80
Element x y z (fractional)
Zn  0.000  0.000  0.000
Cd  0.124  0.124  0.677
Cd  0.242  0.242  0.299
Cd  0.377  0.377  0.907
Cd  0.623  0.623  0.093
Cd  0.758  0.758  0.701
Cd  0.876  0.876  0.323
Hg  0.500  0.500  0.500

***

[16]
VASP calculation (PBE) on crystalline TcSbBr2 at its relaxed geometry.

Values from the calculation:
Relative energy among the computed polymorphs: 0.087 eV per atom
SG: Pmm2 (25)
ΔE_f (raw): 0.096 eV/atom

Lattice parameters (Å, degrees): 3.292 4.120 8.770 90.00 90.00 90.00
Element x y z (fractional)
Tc  0.000  0.000  0.000
Sb  0.500  0.500  0.070
Br  0.000  0.000  0.728
Br  0.500  0.500  0.363

***

[17]
VASP calculation (PBE) on crystalline HPtI3 at its relaxed geometry.

Values from the calculation:
Relative energy among the computed polymorphs: 0.604 eV per atom
SG: Pm-3m (221)

Lattice parameters (Å, degrees): 5.517 5.517 5.517 90.00 90.00 90.00
Element x y z (fractional)
H  0.000  0.000  0.000
Pt  0.500  0.500  0.500
I  0.000  0.500  0.500
I  0.500  0.000  0.500
I  0.500  0.500  0.000

***

[18]
VASP calculation (PBE) on crystalline KSiPb2 at its relaxed geometry.

Values from the calculation:
SG: Cmmm (65)
ΔE_f (raw): 0.332 eV/atom

Lattice parameters (Å, degrees): 6.254 6.254 3.276 90.00 90.00 115.20
Element x y z (fractional)
K  0.000  0.000  0.000
Si  0.500  0.500  0.000
Pb  0.000  0.500  0.500
Pb  0.500  0.000  0.500

***

[19]
VASP calculation (PBE) on crystalline Tb2SmDy2Er at its relaxed geometry.

Values from the calculation:
SG: Pnnm (58)
Energy of formation: 1.65 eV/f.u.

Lattice parameters (Å, degrees): 6.597 17.660 3.372 90.00 90.00 90.00
Element x y z (fractional)
Tb  0.236  0.182  0.000
Tb  0.264  0.682  0.500
Tb  0.736  0.318  0.500
Tb  0.764  0.818  0.000
Sm  0.000  0.500  0.000
Sm  0.500  0.000  0.500
Dy  0.234  0.351  0.500
Dy  0.266  0.851  0.000
Dy  0.734  0.149  0.000
Dy  0.766  0.649  0.500
Er  0.000  0.000  0.000
Er  0.500  0.500  0.500

***

[20]
VASP calculation (PBE) on crystalline Sm3Sc7Pt4 at its relaxed geometry.

Values from the calculation:
SG: C2/m (12)
Energy of formation: -10.81 eV/f.u.

Lattice parameters (Å, degrees): 8.690 8.690 10.367 124.93 124.93 30.71
Element x y z (fractional)
Sm  0.000  0.000  0.000
Sm  0.312  0.312  0.312
Sm  0.688  0.688  0.688
Sc  0.000  0.000  0.500
Sc  0.165  0.165  0.422
Sc  0.305  0.305  0.965
Sc  0.491  0.491  0.709
Sc  0.509  0.509  0.291
Sc  0.695  0.695  0.035
Sc  0.835  0.835  0.578
Pt  0.107  0.107  0.842
Pt  0.334  0.334  0.726
Pt  0.666  0.666  0.274
Pt  0.893  0.893  0.158

***

We obtain size of the total moment values of 0.000, 0.328, 0.001, 0.000, 0.000, 0.000, 0.000, 0.150, 0.000, 0.000, 0.000, 0.011, 0.269, 0.724, 0.000, 0.000, 0.205, 0.000, 0.000, 0.000 μB per atom for the records listed above, in that order.
We obtain calculated density values of 11.31, 6.54, 14.63, 5.50, 8.08, 4.25, 10.67, 7.91, 6.72, 6.76, 6.76, 9.13, 3.62, 4.43, 8.74, 5.30, 5.70, 6.90, 8.12, 7.98 g/cm3 for the records listed above, in that order.